Below is a geometry-optimized TlCdCl3 structure, with properties calculated at the PBE-GGA level.

Results
V	144	Å³/f.u.
raw formation energy	-5.125	eV per formula unit

Lattice parameters (Å, degrees): 5.2441 5.2441 5.2441 90.00 90.00 90.00
Last column: nearest neighbours and their distance in Å.
Space group Pm-3m (No. 221)
One atom of each set of equivalent atoms:
Tl 0.0000 0.0000 0.0000 [1 per cell]  12 Cl 3.71
Cd 0.5000 0.5000 0.5000 [1 per cell]  6 Cl 2.62
Cl 0.0000 0.5000 0.5000 [3 per cell]  2 Cd 2.62



Below is a geometry-optimized TcHg structure, with properties calculated at the PBE-GGA level.

Results
V	36	Å³/f.u.
ΔE to the lowest computed polymorph	0.3692	eV/atom
ΔH_f (0 K)	0.613	eV/atom

Lattice parameters (Å, degrees): 4.4855 2.9982 5.3389 90.00 90.00 90.00
Last column: nearest neighbours and their distance in Å.
Space group Pmma (No. 51)
One atom of each set of equivalent atoms:
Tc 0.2500 0.0000 0.1125 [2 per cell]  2 Tc 2.54
Hg 0.2500 0.5000 0.6539 [2 per cell]  4 Hg 2.78-3.00, 6 Tc 2.87-2.97



Below is a geometry-optimized TaRu2W structure, with properties calculated at the PBE-GGA level.

Results
V	63	Å³/f.u.
ΔE to the lowest computed polymorph	0.2026	eV/atom
ΔH_f (0 K)	0.125	eV/atom

Lattice parameters (Å, degrees): 6.3049 6.3049 6.3049 90.00 90.00 90.00
Last column: nearest neighbours and their distance in Å.
Space group F-43m (No. 216)
One atom of each set of equivalent atoms:
Ta 0.0000 0.0000 0.0000 [4 per cell]  4 W 2.73, 4 Ru 2.73
Ru 0.0000 0.0000 0.5000 [4 per cell]  4 W 2.73, 4 Ru 2.73
Ru 0.2500 0.2500 0.2500 [4 per cell]  4 Ta 2.73, 4 Ru 2.73
W 0.2500 0.2500 0.7500 [4 per cell]  4 Ta 2.73, 4 Ru 2.73



Below is a geometry-optimized SrCaLa2 structure, with properties calculated at the PBE-GGA level.

Results
V	166	Å³/f.u.
ΔE to the lowest computed polymorph	0.1104	eV/atom
ΔH_f (0 K)	0.154	eV/atom

Lattice parameters (Å, degrees): 5.3199 5.3199 11.7260 90.00 90.00 90.00
Last column: nearest neighbours and their distance in Å.
Space group I4/mmm (No. 139)
One atom of each set of equivalent atoms:
Sr 0.0000 0.0000 0.0000 [2 per cell]  4 Ca 3.76, 8 La 3.96
Ca 0.0000 0.0000 0.5000 [2 per cell]  4 Sr 3.76, 8 La 3.96
La 0.0000 0.5000 0.2500 [4 per cell]  4 La 3.76, 4 Ca 3.96, 4 Sr 3.96



Below is a geometry-optimized BaUAs2 structure, with properties calculated at the PBE-GGA level.

Results
V	122	Å³/f.u.
ΔE to the lowest computed polymorph	0.0678	eV/atom
ΔH_f (0 K)	-0.831	eV/atom

Lattice parameters (Å, degrees): 4.2812 4.2812 22.9769 90.00 90.00 120.00
Last column: nearest neighbours and their distance in Å.
Space group R3m (No. 160, hexagonal axes)
One atom of each set of equivalent atoms:
Ba 0.0000 0.0000 0.0000 [3 per cell]  6 As 3.31-3.42
U 0.0000 0.0000 0.8289 [3 per cell]  6 As 2.91-2.92
As 0.0000 0.0000 0.2302 [3 per cell]  3 U 2.92
As 0.0000 0.0000 0.4290 [3 per cell]  3 U 2.91



Below is a geometry-optimized Pm2Cd2Rh3 structure, with properties calculated at the PBE-GGA level.

Results
V	149	Å³/f.u.
ΔH_f (0 K)	-0.474	eV/atom

Lattice parameters (Å, degrees): 4.8183 4.8290 7.8596 72.29 89.87 60.26
Last column: nearest neighbours and their distance in Å.
Space group P-1 (No. 2)
One atom of each set of equivalent atoms:
Pm 0.1147 0.2714 0.3399 [2 per cell]  7 Rh 2.84-3.03
Cd 0.3717 0.7592 0.1061 [2 per cell]  5 Rh 2.74-3.04
Rh 0.2423 0.0147 0.7348 [2 per cell]  4 Cd 2.74-3.04, 4 Pm 2.84-2.91
Rh 0.5000 0.5000 0.5000 [1 per cell]  2 Cd 2.90, 6 Pm 3.02-3.03



Below is a geometry-optimized Cd2InB structure, with properties calculated at the PBE-GGA level.

Results
V	105	Å³/f.u.
ΔE to the lowest computed polymorph	0.0000	eV/atom
ΔH_f (0 K)	0.740	eV/atom

Lattice parameters (Å, degrees): 5.6379 5.6379 13.2109 90.00 90.00 90.00
Last column: nearest neighbours and their distance in Å.
Space group I-42d (No. 122)
One atom of each set of equivalent atoms:
Cd 0.0968 0.2500 0.1250 [8 per cell]  2 B 2.24
In 0.0000 0.0000 0.5000 [4 per cell]  4 Cd 3.14
B 0.0000 0.0000 0.0000 [4 per cell]  4 Cd 2.24



Below is a geometry-optimized Na2MnNi structure, with properties calculated at the PBE-GGA level.

Results
V	79	Å³/f.u.
ΔE to the lowest computed polymorph	0.0667	eV/atom
ΔH_f (0 K)	0.816	eV/atom

Lattice parameters (Å, degrees): 6.8188 6.8188 6.8188 90.00 90.00 90.00
Last column: nearest neighbours and their distance in Å.
Space group Fm-3m (No. 225)
One atom of each set of equivalent atoms:
Na 0.2500 0.2500 0.2500 [8 per cell]  4 Mn 2.95, 4 Ni 2.95
Mn 0.0000 0.0000 0.0000 [4 per cell]  8 Na 2.95
Ni 0.0000 0.0000 0.5000 [4 per cell]  8 Na 2.95



Below is a geometry-optimized Nd2CdGa3Cu4 structure, with properties calculated at the PBE-GGA level.

Results
V	188	Å³/f.u.
ΔH_f (0 K)	-0.357	eV/atom

Lattice parameters (Å, degrees): 4.2770 4.2770 10.2984 90.00 90.00 90.00
Last column: nearest neighbours and their distance in Å.
Space group P-4m2 (No. 115)
One atom of each set of equivalent atoms:
Nd 0.0000 0.5000 0.2348 [2 per cell]  8 Cu 3.23-3.27, 6 Ga 3.24-3.47, 2 Cd 3.47
Cd 0.0000 0.0000 0.5000 [1 per cell]  4 Cu 2.60
Ga 0.0000 0.5000 0.8774 [2 per cell]  5 Cu 2.40-2.48
Ga 0.5000 0.5000 0.5000 [1 per cell]  4 Cu 2.60
Cu 0.0000 0.0000 0.0000 [1 per cell]  4 Ga 2.48
Cu 0.0000 0.5000 0.6444 [2 per cell]  3 Ga 2.40-2.60, 2 Cd 2.60
Cu 0.5000 0.5000 0.0000 [1 per cell]  4 Ga 2.48



Below is a geometry-optimized LiGdBi2 structure, with properties calculated at the PBE-GGA level.

Results
V	110	Å³/f.u.
ΔE to the lowest computed polymorph	0.0000	eV/atom
ΔH_f (0 K)	-0.570	eV/atom

Lattice parameters (Å, degrees): 5.0467 5.0467 4.3001 90.00 90.00 90.00
Last column: nearest neighbours and their distance in Å.
Space group P4/mmm (No. 123)
One atom of each set of equivalent atoms:
Li 0.0000 0.0000 0.0000 [1 per cell]  8 Bi 3.32, 4 Gd 3.57
Gd 0.5000 0.5000 0.0000 [1 per cell]  8 Bi 3.32, 4 Li 3.57
Bi 0.0000 0.5000 0.5000 [2 per cell]  4 Gd 3.32, 4 Li 3.32, 4 Bi 3.57



Below is a geometry-optimized ZrTiCoIr structure, with properties calculated at the PBE-GGA level.

Results
V	64	Å³/f.u.
ΔH_f (0 K)	-0.557	eV/atom

Lattice parameters (Å, degrees): 6.3401 6.3401 6.3401 90.00 90.00 90.00
Last column: nearest neighbours and their distance in Å.
Space group F-43m (No. 216)
One atom of each set of equivalent atoms:
Zr 0.0000 0.0000 0.0000 [4 per cell]  4 Co 2.75, 4 Ir 2.75
Ti 0.0000 0.0000 0.5000 [4 per cell]  4 Co 2.75, 4 Ir 2.75
Co 0.2500 0.2500 0.2500 [4 per cell]  4 Ti 2.75, 4 Zr 2.75
Ir 0.2500 0.2500 0.7500 [4 per cell]  4 Zr 2.75, 4 Ti 2.75



Below is a geometry-optimized ZnAgBr2 structure, with properties calculated at the PBE-GGA level.

Results
V	127	Å³/f.u.
ΔE to the lowest computed polymorph	0.0288	eV/atom
raw formation energy	-0.866	eV per formula unit

Lattice parameters (Å, degrees): 6.1442 6.1442 13.4485 90.00 90.00 90.00
Last column: nearest neighbours and their distance in Å.
Space group I-42d (No. 122)
One atom of each set of equivalent atoms:
Zn 0.0000 0.0000 0.0000 [4 per cell]  4 Br 2.72
Ag 0.0000 0.0000 0.5000 [4 per cell]  4 Br 2.78
Br 0.2416 0.2500 0.1250 [8 per cell]  2 Zn 2.72, 2 Ag 2.78



Below is a geometry-optimized Ta2CuNi structure, with properties calculated at the PBE-GGA level.

Results
V	60	Å³/f.u.
ΔE to the lowest computed polymorph	0.1723	eV/atom
ΔH_f (0 K)	0.104	eV/atom

Lattice parameters (Å, degrees): 3.7706 3.7706 8.3920 90.00 90.00 90.00
Last column: nearest neighbours and their distance in Å.
Space group I-4m2 (No. 119)
One atom of each set of equivalent atoms:
Ta 0.0000 0.0000 0.0000 [2 per cell]  4 Ni 2.67, 4 Ta 2.82, 4 Cu 2.82
Ta 0.0000 0.5000 0.2500 [2 per cell]  4 Cu 2.67, 4 Ta 2.82, 4 Ni 2.82
Cu 0.0000 0.5000 0.7500 [2 per cell]  8 Ta 2.67-2.82, 4 Ni 2.82
Ni 0.0000 0.0000 0.5000 [2 per cell]  8 Ta 2.67-2.82, 4 Cu 2.82